Record 1
8
Lattice="-2.0796 5.2091 1.0365 -2.6692 -0.3215 -3.7396 -5.2998 -3.0032 4.0409" Properties=species:S:1:pos:R:3 comment="PBE Pr3DyPt4, optimized geometry" rho_g_cm3=11.81 vol_a3_per_cell=192.0 space_group="Pm (6)" ef_mev_per_atom=-1154 pbc="T T T"
Pr -3.3196 -0.3973 -0.4327
Pr -2.3046 2.7834 1.4056
Pr -6.4078 -0.7407 1.8010
Pt -5.1876 1.8774 0.7051
Pt -8.0980 1.4261 2.8212
Pt -0.5092 0.6562 0.3070
Pt -3.6225 0.1458 2.5730
Dy -5.4069 2.4298 3.6503

=====

Record 2
9
Lattice="-5.7549 3.8513 -1.8694 -6.0640 3.7259 0.8898 7.3069 3.2162 0.9647" Properties=species:S:1:pos:R:3 comment="PBE Cu5Ag4, optimized geometry" rho_g_cm3=9.52 vol_a3_per_cell=130.7 e_above_lowest_polymorph_mev_per_atom=58 space_group="Cm (8)" ef_mev_per_atom=99 pbc="T T T"
Cu -8.0271 7.8661 -0.5417
Cu -0.3033 5.5021 0.2161
Cu -4.3881 8.1184 -0.1226
Cu -4.6501 10.7306 -0.0333
Cu -7.7881 4.9931 -0.6455
Ag -4.1701 5.2365 -0.2292
Ag -0.2672 2.8116 0.0978
Ag 3.6449 2.9809 0.5438
Ag -3.9176 2.5117 -0.3247

=====

Record 3
7
Lattice="5.2630 -1.9286 0.0000 5.2630 1.9286 0.0000 -4.3042 0.0000 5.2159" Properties=species:S:1:pos:R:3 comment="PBE YTmCo2Si2C, optimized geometry" rho_g_cm3=6.96 vol_a3_per_cell=105.9 final_energy_ev_per_atom=-7.152 space_group="Cm (8)" pbc="T T T"
Si -1.3871 0.0000 3.6674
Si 7.6074 0.0000 1.5520
Co 4.5051 0.0000 4.7542
Co 1.7151 0.0000 0.4595
Y 4.6549 0.0000 1.5497
C 6.2231 0.0000 5.2103
Tm 1.5688 0.0000 3.6707

=====

Record 4
11
Lattice="7.7428 -2.1191 0.0000 7.7428 2.1191 0.0000 -2.1614 0.0000 6.7037" Properties=species:S:1:pos:R:3 comment="PBE Y4InCo2Ge4, optimized geometry" rho_g_cm3=6.63 vol_a3_per_cell=220.0 final_energy_ev_per_atom=-6.308 space_group="C2/m (12)" pbc="T T T"
Co 11.2844 0.0000 2.4710
Co 2.0398 0.0000 4.2327
Y 8.1003 0.0000 6.2985
Y 5.0211 0.0000 4.1030
Y 8.3031 0.0000 2.6007
Y 5.2239 0.0000 0.4052
In 0.0000 0.0000 0.0000
Ge 10.7103 0.0000 4.8693
Ge 2.6139 0.0000 1.8345
Ge -0.3699 0.0000 4.4190
Ge 13.6941 0.0000 2.2847

=====

Record 5
5
Lattice="-0.9383 -3.9264 4.2743 -4.0751 0.9659 4.1264 0.5176 0.1549 -5.8545" Properties=species:S:1:pos:R:3 comment="PBE HfRe2Ge2, optimized geometry" rho_g_cm3=13.39 vol_a3_per_cell=86.4 final_energy_ev_per_atom=-8.706 space_group="I4/mmm (139)" pbc="T T T"
Re -1.4637 -2.6259 1.3101
Re -3.0321 -0.1797 1.2362
Ge -1.9265 -1.1377 3.2282
Ge -3.0868 -1.8228 5.1725
Hf 0.0000 0.0000 0.0000

=====

Record 6
9
Lattice="-0.5820 2.7408 2.9136 -3.5347 -5.1821 4.1688 7.4503 0.8986 0.6428" Properties=species:S:1:pos:R:3 comment="PBE Tb2DyMg3NiAu2, optimized geometry" rho_g_cm3=8.41 vol_a3_per_cell=198.7 final_energy_ev_per_atom=-3.955 space_group="Amm2 (38)" pbc="T T T"
Ni 3.9133 -4.2810 4.8088
Tb -1.4253 -2.0896 1.6810
Tb 3.0042 0.3624 0.2592
Dy 2.3378 -2.5575 2.8728
Mg 4.4605 -1.6838 5.2790
Mg 1.8581 -3.1244 6.1143
Mg 0.6382 0.3539 2.5986
Au 3.4924 0.2366 3.2791
Au -0.1556 -1.7827 4.4500

=====

Record 7
4
Lattice="2.2816 -2.3657 -2.7372 2.3023 -3.3068 1.4351 -1.2156 -4.0017 -0.8965" Properties=species:S:1:pos:R:3 comment="PBE LiZnMoIr, optimized geometry" rho_g_cm3=10.82 vol_a3_per_cell=55.3 e_above_lowest_polymorph_mev_per_atom=0 space_group="F-43m (216)" pbc="T T T"
Ir 0.8421 -2.4185 -0.5497
Li 2.5262 -7.2556 -1.6490
Zn 1.6842 -4.8371 -1.0993
Mo 0.0000 0.0000 0.0000

=====

Record 8
3
Lattice="2.5960 -1.4677 3.9384 2.8534 3.2261 2.4197 -1.2862 1.5320 4.5170" Properties=species:S:1:pos:R:3 comment="PBE ThNbGe, optimized geometry" rho_g_cm3=7.74 vol_a3_per_cell=85.2 final_energy_ev_per_atom=-6.419 space_group="F-43m (216)" pbc="T T T"
Nb 3.1223 2.4678 8.1564
Th 0.0000 0.0000 0.0000
Ge 1.0408 0.8226 2.7188

=====

Record 9
2
Lattice="4.6109 -1.1836 0.8909 2.2203 1.7133 3.9484 1.0702 -2.9825 3.6626" Properties=species:S:1:pos:R:3 comment="PBE NaPa, optimized geometry" rho_g_cm3=5.25 vol_a3_per_cell=80.3 e_above_lowest_polymorph_mev_per_atom=2331 space_group="F-43m (216)" pbc="T T T"
Na 0.0000 0.0000 0.0000
Pa 1.9753 -0.6132 2.1255

=====

Record 10
24
Lattice="5.4009 -3.1023 0.0000 5.4009 3.1023 0.0000 -3.5497 0.0000 13.6681" Properties=species:S:1:pos:R:3 comment="PBE Y4Lu2Co3C3, optimized geometry" rho_g_cm3=6.66 vol_a3_per_cell=458.0 final_energy_ev_per_atom=-7.090 space_group="C2/c (15)" pbc="T T T"
Y 8.1025 0.5350 1.3544
Y 0.9244 0.5349 5.4796
Y 8.1259 0.5453 5.4956
Y 6.3511 -0.5453 12.3297
Y 6.3276 -0.5350 8.1885
Y 0.9010 0.5453 1.3385
Y -0.8739 -0.5453 8.1725
Y -0.8504 -0.5350 12.3137
Lu 2.7219 -0.4658 8.1608
Lu 4.5301 0.4658 5.5074
Lu 2.7553 -0.4658 12.3414
Lu 4.4967 0.4658 1.3267
Co 2.7386 1.4295 10.2511
Co 2.5175 -0.5616 3.4083
Co 4.5134 -1.4295 3.4170
Co 6.5094 -0.5616 3.4258
Co 4.7345 0.5616 10.2598
Co 0.7427 0.5616 10.2424
C 6.2652 1.5132 0.0547
C 2.7617 1.5132 6.7794
C 2.7004 1.5511 0.0000
C 4.4904 -1.5132 6.8888
C 0.9868 -1.5132 13.6134
C 0.9256 -1.5511 6.8341

=====

Record 11
5
Lattice="-4.3009 1.1556 5.7285 -7.2150 -0.7516 0.1680 6.1055 -3.3393 -2.0544" Properties=species:S:1:pos:R:3 comment="PBE SrIn2Hg2, optimized geometry" rho_g_cm3=8.56 vol_a3_per_cell=139.3 final_energy_ev_per_atom=-1.875 space_group="I4/mmm (139)" pbc="T T T"
In -3.4337 -1.9444 0.5309
In -1.9766 -0.9908 3.3112
Hg -7.0039 0.2457 3.5862
Hg -4.5120 0.1583 2.3103
Sr 0.0000 0.0000 0.0000

=====

Record 12
56
Lattice="-11.5666 6.8577 -4.7211 -2.7135 -6.5724 -2.8928 -5.0192 -3.0798 11.7040" Properties=species:S:1:pos:R:3 comment="PBE CsNb2PS10, optimized geometry" rho_g_cm3=3.12 vol_a3_per_cell=1426.4 final_energy_ev_per_atom=-5.574 space_group="Pc (7)" pbc="T T T"
Cs -10.6063 -0.6096 1.1442
Cs -3.6319 -3.4091 0.5977
Cs -13.1136 -2.1435 6.9993
Cs -6.0430 -4.7104 6.5548
S -9.6087 -2.6983 6.9678
S -18.9915 -2.0860 4.4018
S -14.4084 2.9380 3.6578
S -7.5566 -5.3674 1.8493
S -15.9256 -3.6582 5.4237
S -12.7610 5.7884 -2.1613
S -13.7622 -0.0358 -4.1808
S -8.9838 -6.2663 5.0824
S -5.8393 -2.7643 3.3923
S -10.8013 -4.3645 0.6968
S -8.1348 -2.2289 9.7601
S -13.0586 -1.9865 -1.1172
S -13.0761 2.4363 -1.2529
S -6.1357 -0.2787 -1.7379
S -7.6339 -2.4536 0.5459
S -12.8291 -0.0852 3.8791
S -6.5733 -1.1702 6.5838
S -16.6487 2.9091 6.0591
S -7.5241 0.2428 3.3247
S -11.5908 3.0302 -4.2925
S -14.4731 -2.6734 2.2459
S -16.1693 -0.5190 3.9757
S -7.4680 1.7508 0.4297
S -14.6056 0.2664 1.0217
S -4.5030 0.0478 1.3313
S -9.1933 -3.1448 3.5309
S -11.8989 -5.8144 7.1882
S -14.3570 4.6002 0.8149
S -10.8071 0.2726 -2.4931
S -16.0648 -0.2152 -1.8461
S -13.5165 1.4431 6.9221
S -10.0385 3.5293 -1.5540
S -9.7446 0.3660 5.7480
S -9.2654 -3.0114 -2.2683
S -17.7206 -1.6853 1.0790
S -11.3787 2.8162 1.7436
S -6.1801 -4.7562 -1.5238
S -11.9979 -4.6828 4.1278
S -10.8678 0.0130 9.1533
S -8.8332 -5.4775 8.7275
Nb -12.0304 4.4919 -0.0660
Nb -15.4300 -1.9176 -0.1338
Nb -10.0130 -5.5058 2.8620
Nb -8.5327 -4.6605 -0.5384
Nb -10.5798 5.2916 -3.4898
Nb -5.1434 1.7490 -0.4741
Nb -16.9468 -2.8767 3.2210
Nb -8.6589 -0.4260 7.8555
P -7.4673 -3.3357 2.4104
P -14.4360 -0.6582 2.8630
P -9.4472 -3.5916 8.8281
P -11.3945 2.1688 -2.4221